YMoWO6 | PBE+U | optimized geometry

a b c (Å): 5.4965 5.4965 8.9042
angles (deg): 90.00 90.00 120.00
Closest atoms and distances in Å follow each position.
Fractional coordinates of all 18 atoms:
Y: 0.3333 0.6667 0.2500  6 O 2.27
Y: 0.6667 0.3333 0.7500  6 O 2.27
Mo: 0.0000 0.0000 0.0000  6 O 2.20
Mo: 0.0000 0.0000 0.5000  6 O 2.20
W: 0.6667 0.3333 0.2500  6 O 1.96
W: 0.3333 0.6667 0.7500  6 O 1.96
O: 0.6825 0.6381 0.1288  1 W 1.96
O: 0.9556 0.3175 0.1288  1 W 1.96
O: 0.3175 0.9556 0.6288  1 W 1.96
O: 0.0444 0.6825 0.8712  1 W 1.96
O: 0.3619 0.3175 0.3712  1 W 1.96
O: 0.9556 0.6381 0.3712  1 W 1.96
O: 0.6381 0.9556 0.8712  1 W 1.96
O: 0.6825 0.0444 0.3712  1 W 1.96
O: 0.0444 0.3619 0.6288  1 W 1.96
O: 0.3619 0.0444 0.1288  1 W 1.96
O: 0.6381 0.6825 0.6288  1 W 1.96
O: 0.3175 0.3619 0.8712  1 W 1.96

**Volume**: 233 Å³ per cell
**DFT total energy**: -7.916 eV per atom
**M_tot**: 3.00 μB/f.u.
**Theoretical density**: 6.62 Mg/m³